KTiCo2: optimized geometry, PBE.

Computed properties:
E: -4.7541 eV/atom
Relative energy among the computed polymorphs: 0.078 eV per atom
Energy of formation: 101.0 kJ per mole of atoms

abc: 4.488 4.488 4.488
angles: 60.00 60.00 60.00
Positions (direct):
K (0.000, 0.000, 0.000)
Co (0.250, 0.250, 0.250)
Co (0.750, 0.750, 0.750)
Ti (0.500, 0.500, 0.500)